DFT (PBE) results for a geometry-optimized Y2SiSe structure.

a b c (Å): 7.3076 5.2389 3.5195
angles (deg): 80.47 75.86 127.98
Fractional positions:
Se 0.0000 0.5000 0.5000
Y 0.5000 0.0000 0.5000
Y 0.0000 0.0000 0.0000
Si 0.5000 0.5000 0.0000

Output
Final energy, eV/atom: -6.4345
Total magnetization, μB per atom: 0.000
Crystal system: monoclinic
Distance to the lowest polymorph of the same formula, meV per atom: 368.9